Compound: Tl2InW
Source: Alexandria
Functional: GGA-PBE
Structure: relaxed

a = 5.828 Å, b = 5.828 Å, c = 5.828 Å
α = 142.61°, β = 131.09°, γ = 63.14°
Element x y z (fractional)
Tl1 0.000 0.000 0.000
Tl2 0.730 0.230 0.500
In1 0.270 0.770 0.500
W1 0.494 0.494 0.000

Calculated values
- magnetization (μB/f.u.) = 0.000
- crystal system = orthorhombic
- E_form (eV per atom) = 0.890
- energy relative to the lowest polymorph listed for this composition (eV per atom) = 0.2726
- space group = Imm2, No. 44